Record 1
Material: LiAcZnNi
Method: DFT, GGA-PBE
State: relaxed

```
data_LiAcZnNi
_chemical_formula_sum 'Li4 Ac4 Zn4 Ni4'
_cell_length_a 6.876
_cell_length_b 6.876
_cell_length_c 6.876
_cell_angle_alpha 90.00
_cell_angle_beta 90.00
_cell_angle_gamma 90.00
_space_group_name_H-M_alt 'F -4 3 m'
_space_group_IT_number 216
_space_group_name_Hall 'F -4 2 3'
loop_
_atom_site_label
_atom_site_fract_x
_atom_site_fract_y
_atom_site_fract_z
Li1 0.000 0.000 0.000
Ac1 0.250 0.250 0.250
Zn1 0.250 0.250 0.750
Ni1 0.000 0.000 0.500
```

The calculation puts the theoretical density at 7.32 g/cm3. The calculation puts the energy relative to the elements at -0.03 eV/atom.

Record 2
Material: CeFe4Pd
Method: DFT, GGA-PBE
State: relaxed

```
data_CeFe4Pd
_chemical_formula_sum 'Ce4 Fe16 Pd4'
_cell_length_a 7.104
_cell_length_b 7.104
_cell_length_c 7.104
_cell_angle_alpha 90.00
_cell_angle_beta 90.00
_cell_angle_gamma 90.00
_space_group_name_H-M_alt 'F -4 3 m'
_space_group_IT_number 216
_space_group_name_Hall 'F -4 2 3'
loop_
_atom_site_label
_atom_site_fract_x
_atom_site_fract_y
_atom_site_fract_z
Ce1 0.000 0.000 0.000
Fe1 0.124 0.124 0.624
Pd1 0.250 0.250 0.250
```

The calculation puts the theoretical density at 8.71 g/cm3. The calculation puts the energy relative to the elements at -0.06 eV/atom.

Record 3
Material: Ba5NaZn
Method: DFT, GGA-PBE
State: relaxed

```
data_Ba5NaZn
_chemical_formula_sum 'Ba20 Na4 Zn4'
_cell_length_a 14.180
_cell_length_b 8.442
_cell_length_c 13.875
_cell_angle_alpha 90.00
_cell_angle_beta 111.52
_cell_angle_gamma 90.00
_space_group_name_H-M_alt 'C 1 2/c 1'
_space_group_IT_number 15
_space_group_name_Hall '-C 2yc'
loop_
_atom_site_label
_atom_site_fract_x
_atom_site_fract_y
_atom_site_fract_z
Ba1 0.000 0.035 0.250
Ba2 0.125 0.333 0.036
Ba3 0.216 0.175 0.633
Na1 0.000 0.465 0.750
Zn1 0.000 0.000 0.000
```

The calculation puts the theoretical density at 3.33 g/cm3. The calculation puts the energy relative to the elements at 0.04 eV/atom.

Record 4
Material: SrTcW3
Method: DFT, GGA-PBE
State: relaxed

```
data_SrTcW3
_chemical_formula_sum 'Sr1 Tc1 W3'
_cell_length_a 4.667
_cell_length_b 4.667
_cell_length_c 4.667
_cell_angle_alpha 90.00
_cell_angle_beta 90.00
_cell_angle_gamma 90.00
_space_group_name_H-M_alt 'P m -3 m'
_space_group_IT_number 221
_space_group_name_Hall '-P 4 2 3'
loop_
_atom_site_label
_atom_site_fract_x
_atom_site_fract_y
_atom_site_fract_z
Sr1 0.000 0.000 0.000
Tc1 0.500 0.500 0.500
W1 0.000 0.000 0.500
```

The calculation puts the energy above the lowest structure with this stoichiometry at 2203.4 meV per atom. The calculation puts the theoretical density at 12.04 g/cm3. The calculation puts the energy relative to the elements at 3.82 eV/atom.

Record 5
Material: Sm3Si2Ge2
Method: DFT, GGA-PBE
State: relaxed

```
data_Sm3Si2Ge2
_chemical_formula_sum 'Sm6 Si4 Ge4'
_cell_length_a 4.011
_cell_length_b 4.350
_cell_length_c 18.021
_cell_angle_alpha 90.00
_cell_angle_beta 90.00
_cell_angle_gamma 90.00
_space_group_name_H-M_alt 'I m m m'
_space_group_IT_number 71
_space_group_name_Hall '-I 2 2'
loop_
_atom_site_label
_atom_site_fract_x
_atom_site_fract_y
_atom_site_fract_z
Sm1 0.000 0.000 0.000
Sm2 0.000 0.500 0.320
Si1 0.000 0.000 0.435
Ge1 0.000 0.500 0.151
```

The calculation puts the theoretical density at 6.89 g/cm3. As for the energy relative to the elements, uncorrected: -0.762 eV/atom.

Record 6
Material: Li2Al4Ga
Method: DFT, GGA-PBE
State: relaxed

```
data_Li2Al4Ga
_chemical_formula_sum 'Li8 Al16 Ga4'
_cell_length_a 5.175
_cell_length_b 9.367
_cell_length_c 10.134
_cell_angle_alpha 90.00
_cell_angle_beta 90.00
_cell_angle_gamma 90.00
_space_group_name_H-M_alt 'F m m m'
_space_group_IT_number 69
_space_group_name_Hall '-F 2 2'
loop_
_atom_site_label
_atom_site_fract_x
_atom_site_fract_y
_atom_site_fract_z
Li1 0.250 0.250 0.250
Al1 0.000 0.000 0.200
Al2 0.000 0.190 0.000
Ga1 0.000 0.000 0.500
```

The calculation puts the theoretical density at 2.59 g/cm3. The calculation puts the energy relative to the elements at 0.00 eV/atom.

Record 7
Material: BaAlGaO4
Method: DFT, GGA-PBE
State: relaxed

```
data_BaAlGaO4
_chemical_formula_sum 'Ba4 Al4 Ga4 O16'
_cell_length_a 9.303
_cell_length_b 5.327
_cell_length_c 8.996
_cell_angle_alpha 90.00
_cell_angle_beta 91.93
_cell_angle_gamma 90.00
_space_group_name_H-M_alt 'C 1 2 1'
_space_group_IT_number 5
_space_group_name_Hall 'C 2y'
loop_
_atom_site_label
_atom_site_fract_x
_atom_site_fract_y
_atom_site_fract_z
Ba1 0.008 0.000 0.241
Al1 0.167 0.522 0.945
Ga1 0.166 0.473 0.555
O1 0.000 0.292 0.500
O2 0.000 0.644 0.000
O3 0.165 0.585 0.751
O4 0.180 0.750 0.434
O5 0.184 0.195 0.979
```

The calculation puts the energy above the lowest structure with this stoichiometry at 0.0 meV per atom. The calculation puts the theoretical density at 4.44 g/cm3. As for the energy relative to the elements, uncorrected: -2.622 eV/atom.

Record 8
Material: LaY2Th4
Method: DFT, GGA-PBE
State: relaxed

```
data_LaY2Th4
_chemical_formula_sum 'La2 Y4 Th8'
_cell_length_a 3.586
_cell_length_b 36.444
_cell_length_c 3.563
_cell_angle_alpha 90.00
_cell_angle_beta 90.00
_cell_angle_gamma 90.00
_space_group_name_H-M_alt 'C m m m'
_space_group_IT_number 65
_space_group_name_Hall '-C 2 2'
loop_
_atom_site_label
_atom_site_fract_x
_atom_site_fract_y
_atom_site_fract_z
La1 0.000 0.000 0.000
Y1 0.000 0.292 0.500
Th1 0.000 0.140 0.000
Th2 0.000 0.426 0.500
```

The calculation puts the theoretical density at 8.88 g/cm3. The calculation puts the energy relative to the elements at 0.08 eV/atom.

Record 9
Material: Ac2NdTlO6
Method: DFT, GGA-PBE
State: relaxed

```
data_Ac2NdTlO6
_chemical_formula_sum 'Ac4 Nd2 Tl2 O12'
_cell_length_a 6.074
_cell_length_b 6.307
_cell_length_c 10.691
_cell_angle_alpha 90.00
_cell_angle_beta 123.47
_cell_angle_gamma 90.00
_space_group_name_H-M_alt 'P 1 21/c 1'
_space_group_IT_number 14
_space_group_name_Hall '-P 2ybc'
loop_
_atom_site_label
_atom_site_fract_x
_atom_site_fract_y
_atom_site_fract_z
Ac1 0.229 0.054 0.247
Nd1 0.500 0.000 0.000
Tl1 0.000 0.000 0.500
O1 0.124 0.199 0.932
O2 0.224 0.698 0.926
O3 0.382 0.063 0.750
```

The calculation puts the theoretical density at 8.73 g/cm3. As for the energy relative to the elements, uncorrected: -2.645 eV/atom.

Record 10
Material: Cd2CoTe
Method: DFT, GGA-PBE
State: relaxed

```
data_Cd2CoTe
_chemical_formula_sum 'Cd4 Co2 Te2'
_cell_length_a 4.044
_cell_length_b 4.044
_cell_length_c 10.041
_cell_angle_alpha 90.00
_cell_angle_beta 90.00
_cell_angle_gamma 90.00
_space_group_name_H-M_alt 'I 4/m m m'
_space_group_IT_number 139
_space_group_name_Hall '-I 4 2'
loop_
_atom_site_label
_atom_site_fract_x
_atom_site_fract_y
_atom_site_fract_z
Cd1 0.000 0.500 0.250
Co1 0.000 0.000 0.000
Te1 0.000 0.000 0.500
```

The calculation puts the theoretical density at 8.32 g/cm3. As for the energy relative to the elements, uncorrected: 0.368 eV/atom.

Record 11
Material: Er3ZnSb
Method: DFT, GGA-PBE
State: relaxed

```
data_Er3ZnSb
_chemical_formula_sum 'Er12 Zn4 Sb4'
_cell_length_a 15.462
_cell_length_b 4.052
_cell_length_c 10.541
_cell_angle_alpha 90.00
_cell_angle_beta 126.71
_cell_angle_gamma 90.00
_space_group_name_H-M_alt 'C 1 2/m 1'
_space_group_IT_number 12
_space_group_name_Hall '-C 2y'
loop_
_atom_site_label
_atom_site_fract_x
_atom_site_fract_y
_atom_site_fract_z
Er1 0.079 0.000 0.447
Er2 0.120 0.500 0.182
Er3 0.169 0.500 0.795
Zn1 0.241 0.500 0.575
Sb1 0.082 0.000 0.921
```

The calculation puts the theoretical density at 8.64 g/cm3. As for the energy relative to the elements, uncorrected: -0.506 eV/atom.

Record 12
Material: NaPm7Sn4
Method: DFT, GGA-PBE
State: relaxed

```
data_NaPm7Sn4
_chemical_formula_sum 'Na2 Pm14 Sn8'
_cell_length_a 14.794
_cell_length_b 5.683
_cell_length_c 11.440
_cell_angle_alpha 90.00
_cell_angle_beta 126.90
_cell_angle_gamma 90.00
_space_group_name_H-M_alt 'C 1 2/m 1'
_space_group_IT_number 12
_space_group_name_Hall '-C 2y'
loop_
_atom_site_label
_atom_site_fract_x
_atom_site_fract_y
_atom_site_fract_z
Na1 0.000 0.000 0.000
Pm1 0.000 0.500 0.000
Pm2 0.074 0.000 0.338
Pm3 0.157 0.500 0.585
Pm4 0.213 0.000 0.867
Sn1 0.075 0.500 0.782
Sn2 0.205 0.500 0.334
```

The calculation puts the theoretical density at 6.53 g/cm3. The calculation puts the energy relative to the elements at -0.31 eV/atom.

Record 13
Material: PuHgBrO4
Method: DFT, GGA-PBE
State: relaxed

```
data_PuHgBrO4
_chemical_formula_sum 'Pu4 Hg4 Br4 O16'
_cell_length_a 11.942
_cell_length_b 5.688
_cell_length_c 8.458
_cell_angle_alpha 90.00
_cell_angle_beta 105.47
_cell_angle_gamma 90.00
_space_group_name_H-M_alt 'C 1 2/m 1'
_space_group_IT_number 12
_space_group_name_Hall '-C 2y'
loop_
_atom_site_label
_atom_site_fract_x
_atom_site_fract_y
_atom_site_fract_z
Pu1 0.028 0.000 0.224
Hg1 0.170 0.500 0.570
Br1 0.106 0.500 0.842
O1 0.073 0.000 0.653
O2 0.112 0.000 0.070
O3 0.136 0.240 0.360
```

The calculation puts the theoretical density at 7.06 g/cm3. As for the energy relative to the elements, uncorrected: -1.346 eV/atom.

Record 14
Material: Ba3P
Method: DFT, GGA-PBE
State: relaxed

```
data_Ba3P
_chemical_formula_sum 'Ba3 P1'
_cell_length_a 4.075
_cell_length_b 4.075
_cell_length_c 11.230
_cell_angle_alpha 90.00
_cell_angle_beta 90.00
_cell_angle_gamma 90.00
_space_group_name_H-M_alt 'P 4/m m m'
_space_group_IT_number 123
_space_group_name_Hall '-P 4 2'
loop_
_atom_site_label
_atom_site_fract_x
_atom_site_fract_y
_atom_site_fract_z
Ba1 0.000 0.000 0.000
Ba2 0.500 0.500 0.350
P1 0.000 0.000 0.500
```

The calculation puts the energy above the lowest structure with this stoichiometry at 86.3 meV per atom. The calculation puts the theoretical density at 3.95 g/cm3. The calculation puts the energy relative to the elements at -0.50 eV/atom.

Record 15
Material: SnGe2Pt
Method: DFT, GGA-PBE
State: relaxed

```
data_SnGe2Pt
_chemical_formula_sum 'Sn4 Ge8 Pt4'
_cell_length_a 5.772
_cell_length_b 5.772
_cell_length_c 12.545
_cell_angle_alpha 90.00
_cell_angle_beta 90.00
_cell_angle_gamma 90.00
_space_group_name_H-M_alt 'I -4 2 d'
_space_group_IT_number 122
_space_group_name_Hall 'I -4 2bw'
loop_
_atom_site_label
_atom_site_fract_x
_atom_site_fract_y
_atom_site_fract_z
Sn1 0.000 0.000 0.000
Ge1 0.201 0.250 0.625
Pt1 0.000 0.000 0.500
```

The calculation puts the energy above the lowest structure with this stoichiometry at 0.0 meV per atom. The calculation puts the theoretical density at 7.29 g/cm3. The calculation puts the energy relative to the elements at 0.00 eV/atom.

Record 16
Material: TlAg2MoCl6
Method: DFT, GGA-PBE
State: relaxed

```
data_TlAg2MoCl6
_chemical_formula_sum 'Tl3 Ag6 Mo3 Cl18'
_cell_length_a 6.8585
_cell_length_b 6.8585
_cell_length_c 21.6776
_cell_angle_alpha 90.00
_cell_angle_beta 90.00
_cell_angle_gamma 120.00
_space_group_name_H-M_alt 'R -3'
_space_group_IT_number 148
_space_group_name_Hall '-R 3'
loop_
_atom_site_label
_atom_site_fract_x
_atom_site_fract_y
_atom_site_fract_z
Tl1 0.0000 0.0000 0.0000
Ag1 0.0000 0.0000 0.1817
Mo1 0.0000 0.0000 0.5000
Cl1 0.0084 0.2999 0.5649
```

The calculation puts the theoretical density at 4.11 g/cm3. As for the energy relative to the elements, uncorrected: -0.718 eV/atom.

Record 17
Material: SnGe2H2
Method: DFT, GGA-PBE
State: relaxed

```
data_SnGe2H2
_chemical_formula_sum 'Sn2 Ge4 H4'
_cell_length_a 3.434
_cell_length_b 3.434
_cell_length_c 12.711
_cell_angle_alpha 90.00
_cell_angle_beta 90.00
_cell_angle_gamma 90.00
_space_group_name_H-M_alt 'I 4/m m m'
_space_group_IT_number 139
_space_group_name_Hall '-I 4 2'
loop_
_atom_site_label
_atom_site_fract_x
_atom_site_fract_y
_atom_site_fract_z
Sn1 0.000 0.000 0.000
Ge1 0.000 0.000 0.345
H1 0.000 0.500 0.250
```

The calculation puts the theoretical density at 5.89 g/cm3. The total energy is -35.3 eV for the cell shown.

Record 18
Material: La2NiPt
Method: DFT, GGA-PBE
State: relaxed

```
data_La2NiPt
_chemical_formula_sum 'La8 Ni4 Pt4'
_cell_length_a 7.561
_cell_length_b 7.561
_cell_length_c 7.277
_cell_angle_alpha 90.00
_cell_angle_beta 90.00
_cell_angle_gamma 90.00
_space_group_name_H-M_alt 'I -4 2 d'
_space_group_IT_number 122
_space_group_name_Hall 'I -4 2bw'
loop_
_atom_site_label
_atom_site_fract_x
_atom_site_fract_y
_atom_site_fract_z
La1 0.236 0.250 0.125
Ni1 0.000 0.000 0.000
Pt1 0.000 0.000 0.500
```

The calculation puts the theoretical density at 8.49 g/cm3. The calculation puts the energy relative to the elements at -0.39 eV/atom.

Record 19
Material: KI2Br2
Method: DFT, GGA-PBE
State: relaxed

```
data_KI2Br2
_chemical_formula_sum 'K2 I4 Br4'
_cell_length_a 6.366
_cell_length_b 6.366
_cell_length_c 11.157
_cell_angle_alpha 90.00
_cell_angle_beta 90.00
_cell_angle_gamma 90.00
_space_group_name_H-M_alt 'I 4/m m m'
_space_group_IT_number 139
_space_group_name_Hall '-I 4 2'
loop_
_atom_site_label
_atom_site_fract_x
_atom_site_fract_y
_atom_site_fract_z
K1 0.000 0.000 0.000
I1 0.000 0.000 0.379
Br1 0.000 0.500 0.250
```

The calculation puts the energy above the lowest structure with this stoichiometry at 311.9 meV per atom. The calculation puts the theoretical density at 3.33 g/cm3. As for the energy relative to the elements, uncorrected: -0.319 eV/atom.

Record 20
Material: NpRe4Si4
Method: DFT, GGA-PBE
State: relaxed

```
data_NpRe4Si4
_chemical_formula_sum 'Np2 Re8 Si8'
_cell_length_a 8.039
_cell_length_b 8.039
_cell_length_c 4.702
_cell_angle_alpha 90.00
_cell_angle_beta 90.00
_cell_angle_gamma 90.00
_space_group_name_H-M_alt 'P 42/n'
_space_group_IT_number 86
loop_
_space_group_symop_operation_xyz
'x,y,z'
'-x,-y,-z'
'-y,x+1/2,z+1/2'
'y,-x+1/2,-z+1/2'
'-x+1/2,-y+1/2,z'
'x+1/2,y+1/2,-z'
'y+1/2,-x,z+1/2'
'-y+1/2,x,-z+1/2'
loop_
_atom_site_label
_atom_site_fract_x
_atom_site_fract_y
_atom_site_fract_z
Np1 0.250 0.250 0.250
Re1 0.120 0.869 0.660
Si1 0.046 0.903 0.164
```

The calculation puts the theoretical density at 11.96 g/cm3. As for the energy relative to the elements, uncorrected: -0.121 eV/atom.